[1]
Compound: BiS2O
Source: Alexandria
Functional: PBE
Structure: relaxed

Magnetic moment   2.92 μB per cell
Space group   Fm-3m, No. 225

Cell lengths 4.720, 4.720, 4.720 Å; angles 60.00, 60.00, 60.00 degrees
Positions (direct):
Bi 0.000 0.000 0.000
S 0.250 0.250 0.250
S 0.750 0.750 0.750
O 0.500 0.500 0.500


[2]
Compound: CaIr2Os
Source: Alexandria
Functional: PBE
Structure: relaxed

Magnetic moment   0.00 μB per cell
Formation energy   0.65 eV/f.u.
Space group   Pmmm, No. 47

Cell lengths 2.811, 3.762, 6.578 Å; angles 90.00, 90.00, 90.00 degrees
Positions (direct):
Ca 0.000 0.000 0.000
Ir 0.500 0.500 0.300
Ir 0.500 0.500 0.700
Os 0.000 0.000 0.500


| no. | energy above the most stable polymorph in this dataset (meV/atom) | density of states at the Fermi level (states/eV/cell) |
| --- | --- | --- |
| 1 | 472 | 2.515 |
| 2 | 138 | 4.240 |